Here is a geometry-optimized Cr3Se4 structure from Alexandria. Energies are from GGA-PBE.

**Calculated volume**: 143.0 Å³/f.u.
**Total DFT energy (no corrections)**: -5.641 eV/atom
**Crystal system**: hexagonal
**Uncorrected formation energy**: 0.474 eV/atom
**Offset from the most stable computed form**: 0.9784 eV/atom

CIF file:
```
data_Cr3Se4
_space_group_name_H-M_alt 'P 6/m m m'
_space_group_IT_number 191
_space_group_name_Hall '-P 6 2'
_cell_length_a 5.9890
_cell_length_b 5.9890
_cell_length_c 4.6029
_cell_angle_alpha 90.00
_cell_angle_beta 90.00
_cell_angle_gamma 120.00
loop_
_atom_site_label
_atom_site_fract_x
_atom_site_fract_y
_atom_site_fract_z
Cr1 0.0000 0.5000 0.0000
Se1 0.0000 0.0000 0.2646
Se2 0.3333 0.6667 0.5000
```